Record 1
A relaxed structure of LaSn2Te2, computed with PBE-GGA.

Properties
Energy relative to the lowest polymorph listed for this composition = 0.190 eV per atom
Raw formation energy = -0.4382 eV per atom

Cell and atoms, written as CIF:
```
data_LaSn2Te2
_chemical_formula_sum 'La2 Sn4 Te4'
_space_group_name_H-M_alt 'I 4/m m m'
_space_group_IT_number 139
_space_group_name_Hall '-I 4 2'
_cell_length_a 6.0933
_cell_length_b 6.0933
_cell_length_c 9.0974
_cell_angle_alpha 90.00
_cell_angle_beta 90.00
_cell_angle_gamma 90.00
loop_
_atom_site_label
_atom_site_fract_x
_atom_site_fract_y
_atom_site_fract_z
La1 0.0000 0.0000 0.0000
Sn1 0.0000 0.0000 0.3453
Te1 0.0000 0.5000 0.2500
```


Record 2
A relaxed structure of La2Sn2Te, computed with PBE-GGA.

Properties
Energy relative to the lowest polymorph listed for this composition = 0.017 eV per atom
Raw formation energy = -0.8857 eV per atom

Cell and atoms, written as CIF:
```
data_La2Sn2Te
_chemical_formula_sum 'La4 Sn4 Te2'
_space_group_name_H-M_alt 'P 4/m b m'
_space_group_IT_number 127
_space_group_name_Hall '-P 4 2ab'
_cell_length_a 8.5785
_cell_length_b 8.5785
_cell_length_c 4.6553
_cell_angle_alpha 90.00
_cell_angle_beta 90.00
_cell_angle_gamma 90.00
loop_
_atom_site_label
_atom_site_fract_x
_atom_site_fract_y
_atom_site_fract_z
La1 0.1799 0.3201 0.0000
Sn1 0.1162 0.6162 0.5000
Te1 0.0000 0.0000 0.0000
```


Record 3
A relaxed structure of La2SnTe4, computed with PBE-GGA.

Properties
Raw formation energy = -1.1474 eV per atom

Cell and atoms, written as CIF:
```
data_La2SnTe4
_chemical_formula_sum 'La4 Sn2 Te8'
_space_group_name_H-M_alt 'C 1 2/m 1'
_space_group_IT_number 12
_cell_length_a 16.5517
_cell_length_b 4.6170
_cell_length_c 8.1877
_cell_angle_alpha 90.00
_cell_angle_beta 117.13
_cell_angle_gamma 90.00
loop_
_space_group_symop_operation_xyz
'x,y,z'
'-x,-y,-z'
'-x,y,-z'
'x,-y,z'
'x+1/2,y+1/2,z'
'-x+1/2,-y+1/2,-z'
'-x+1/2,y+1/2,-z'
'x+1/2,-y+1/2,z'
loop_
_atom_site_label
_atom_site_fract_x
_atom_site_fract_y
_atom_site_fract_z
La1 0.2273 0.0000 0.2175
Sn1 0.0000 0.5000 0.5000
Te1 0.1215 0.5000 0.9348
Te2 0.1379 0.0000 0.4971
```


Record 4
A relaxed structure of La7Sn2Te2, computed with PBE-GGA.

Properties
Raw formation energy = -0.6272 eV per atom

Cell and atoms, written as CIF:
```
data_La7Sn2Te2
_chemical_formula_sum 'La14 Sn4 Te4'
_space_group_name_H-M_alt 'C m m m'
_space_group_IT_number 65
_space_group_name_Hall '-C 2 2'
_cell_length_a 8.9871
_cell_length_b 11.7988
_cell_length_c 7.3386
_cell_angle_alpha 90.00
_cell_angle_beta 90.00
_cell_angle_gamma 90.00
loop_
_atom_site_label
_atom_site_fract_x
_atom_site_fract_y
_atom_site_fract_z
La1 0.0000 0.0000 0.0000
La2 0.0000 0.5000 0.2587
La3 0.2500 0.2500 0.2907
Sn1 0.1730 0.0000 0.5000
Te1 0.0000 0.2734 0.0000
```


Record 5
A relaxed structure of La6Sn3Te, computed with PBE-GGA.

Properties
Raw formation energy = -0.6795 eV per atom

Cell and atoms, written as CIF:
```
data_La6Sn3Te
_chemical_formula_sum 'La24 Sn12 Te4'
_space_group_name_H-M_alt 'C m c 21'
_space_group_IT_number 36
_cell_length_a 12.0419
_cell_length_b 15.3103
_cell_length_c 8.0248
_cell_angle_alpha 90.00
_cell_angle_beta 90.00
_cell_angle_gamma 90.00
loop_
_space_group_symop_operation_xyz
'x,y,z'
'-x,-y,z+1/2'
'-x,y,z'
'x,-y,z+1/2'
'x+1/2,y+1/2,z'
'-x+1/2,-y+1/2,z+1/2'
'-x+1/2,y+1/2,z'
'x+1/2,-y+1/2,z+1/2'
loop_
_atom_site_label
_atom_site_fract_x
_atom_site_fract_y
_atom_site_fract_z
La1 0.0000 0.0015 0.0000
La2 0.0000 0.2633 0.8892
La3 0.1775 0.2754 0.4793
La4 0.1814 0.4555 0.8951
Sn1 0.0000 0.4225 0.5984
Sn2 0.1722 0.1092 0.7311
Te1 0.0000 0.1674 0.2515
```


Record 6
A relaxed structure of LaSn2Te2, computed with PBE-GGA.

Properties
Energy relative to the lowest polymorph listed for this composition = 0.000 eV per atom
Raw formation energy = -0.6280 eV per atom

Cell and atoms, written as CIF:
```
data_LaSn2Te2
_chemical_formula_sum 'La2 Sn4 Te4'
_space_group_name_H-M_alt 'I 4/m m m'
_space_group_IT_number 139
_space_group_name_Hall '-I 4 2'
_cell_length_a 4.2129
_cell_length_b 4.2129
_cell_length_c 18.1827
_cell_angle_alpha 90.00
_cell_angle_beta 90.00
_cell_angle_gamma 90.00
loop_
_atom_site_label
_atom_site_fract_x
_atom_site_fract_y
_atom_site_fract_z
La1 0.0000 0.0000 0.0000
Sn1 0.0000 0.5000 0.2500
Te1 0.0000 0.0000 0.4069
```


Record 7
A relaxed structure of La2SnTe, computed with PBE-GGA.

Properties
Energy relative to the lowest polymorph listed for this composition = 0.225 eV per atom
Raw formation energy = -0.9864 eV per atom

Cell and atoms, written as CIF:
```
data_La2SnTe
_chemical_formula_sum 'La8 Sn4 Te4'
_space_group_name_H-M_alt 'F m -3 m'
_space_group_IT_number 225
_space_group_name_Hall '-F 4 2 3'
_cell_length_a 7.9411
_cell_length_b 7.9411
_cell_length_c 7.9411
_cell_angle_alpha 90.00
_cell_angle_beta 90.00
_cell_angle_gamma 90.00
loop_
_atom_site_label
_atom_site_fract_x
_atom_site_fract_y
_atom_site_fract_z
La1 0.2500 0.2500 0.2500
Sn1 0.0000 0.0000 0.0000
Te1 0.0000 0.0000 0.5000
```


Record 8
A relaxed structure of La4SnTe2, computed with PBE-GGA.

Properties
Raw formation energy = -1.0631 eV per atom

Cell and atoms, written as CIF:
```
data_La4SnTe2
_chemical_formula_sum 'La16 Sn4 Te8'
_space_group_name_H-M_alt 'I 41/a m d'
_space_group_IT_number 141
_cell_length_a 10.1385
_cell_length_b 10.1385
_cell_length_c 9.8584
_cell_angle_alpha 90.00
_cell_angle_beta 90.00
_cell_angle_gamma 90.00
loop_
_space_group_symop_operation_xyz
'x,y,z'
'-x,-y,-z'
'-y+1/4,x+3/4,z+1/4'
'y+1/4,-x+3/4,-z+1/4'
'-x+1/2,-y,z+1/2'
'x+1/2,y,-z+1/2'
'y+1/4,-x+1/4,z+3/4'
'-y+1/4,x+1/4,-z+3/4'
'x,-y,-z'
'-x,y,z'
'-y+1/4,-x+1/4,-z+3/4'
'y+1/4,x+1/4,z+3/4'
'-x+1/2,y,-z+1/2'
'x+1/2,-y,z+1/2'
'y+1/4,x+3/4,-z+1/4'
'-y+1/4,-x+3/4,z+1/4'
'x+1/2,y+1/2,z+1/2'
'-x+1/2,-y+1/2,-z+1/2'
'-y+3/4,x+1/4,z+3/4'
'y+3/4,-x+1/4,-z+3/4'
'-x,-y+1/2,z'
'x,y+1/2,-z'
'y+3/4,-x+3/4,z+1/4'
'-y+3/4,x+3/4,-z+1/4'
'x+1/2,-y+1/2,-z+1/2'
'-x+1/2,y+1/2,z+1/2'
'-y+3/4,-x+3/4,-z+1/4'
'y+3/4,x+3/4,z+1/4'
'-x,y+1/2,-z'
'x,-y+1/2,z'
'y+3/4,x+1/4,-z+3/4'
'-y+3/4,-x+1/4,z+3/4'
loop_
_atom_site_label
_atom_site_fract_x
_atom_site_fract_y
_atom_site_fract_z
La1 0.0000 0.0624 0.1849
Sn1 0.0000 0.2500 0.8750
Te1 0.0000 0.0000 0.5000
```


Record 9
A relaxed structure of La2SnTe2, computed with PBE-GGA.

Properties
Energy relative to the lowest polymorph listed for this composition = 0.065 eV per atom
Raw formation energy = -1.0398 eV per atom

Cell and atoms, written as CIF:
```
data_La2SnTe2
_chemical_formula_sum 'La4 Sn2 Te4'
_space_group_name_H-M_alt 'P 4/m b m'
_space_group_IT_number 127
_space_group_name_Hall '-P 4 2ab'
_cell_length_a 8.8589
_cell_length_b 8.8589
_cell_length_c 4.0874
_cell_angle_alpha 90.00
_cell_angle_beta 90.00
_cell_angle_gamma 90.00
loop_
_atom_site_label
_atom_site_fract_x
_atom_site_fract_y
_atom_site_fract_z
La1 0.1605 0.3395 0.0000
Sn1 0.0000 0.0000 0.5000
Te1 0.1400 0.6400 0.5000
```


Record 10
A relaxed structure of La2Sn2Te, computed with PBE-GGA.

Properties
Energy relative to the lowest polymorph listed for this composition = 0.143 eV per atom
Raw formation energy = -0.7592 eV per atom

Cell and atoms, written as CIF:
```
data_La2Sn2Te
_chemical_formula_sum 'La4 Sn4 Te2'
_space_group_name_H-M_alt 'P 4/m b m'
_space_group_IT_number 127
_space_group_name_Hall '-P 4 2ab'
_cell_length_a 8.6139
_cell_length_b 8.6139
_cell_length_c 4.3745
_cell_angle_alpha 90.00
_cell_angle_beta 90.00
_cell_angle_gamma 90.00
loop_
_atom_site_label
_atom_site_fract_x
_atom_site_fract_y
_atom_site_fract_z
La1 0.1855 0.3145 0.0000
Sn1 0.1155 0.6155 0.5000
Te1 0.0000 0.0000 0.5000
```


Which of these has the highest raw formation energy?
number 1